[1]
An optimized crystal structure of CsLiHf2B. Source: Alexandria, functional PBE.

a = 5.3953 Å, b = 5.3953 Å, c = 4.7263 Å
α = 90.00°, β = 90.00°, γ = 90.00°
Last column: nearest neighbours and their distance in Å.
Space group P4/mmm (No. 123)
Unique sites:
Cs  0.0000  0.0000  0.0000 x1  2 B 2.36
Li  0.5000  0.5000  0.5000 x1  8 Hf 3.59, 4 B 3.82
Hf  0.0000  0.5000  0.0000 x2  2 Cs 2.70
B  0.0000  0.0000  0.5000 x1  2 Cs 2.36

Results
ΔH_f (0 K) (eV/atom): 2.62

=====

[2]
An optimized crystal structure of NpUCrCo. Source: Alexandria, functional PBE.

a = 6.2721 Å, b = 6.2721 Å, c = 6.2721 Å
α = 90.00°, β = 90.00°, γ = 90.00°
Last column: nearest neighbours and their distance in Å.
Space group F-43m (No. 216)
Unique sites:
Np  0.0000  0.0000  0.0000 x4  4 Co 2.72, 4 U 2.72
U  0.2500  0.2500  0.2500 x4  4 Cr 2.72, 4 Np 2.72
Cr  0.0000  0.0000  0.5000 x4  4 Co 2.72, 4 U 2.72
Co  0.2500  0.2500  0.7500 x4  4 Np 2.72, 4 Cr 2.72

Results
ΔH_f (0 K) (eV/atom): 0.02

=====

[3]
An optimized crystal structure of TeRh2Br. Source: Alexandria, functional PBE.

a = 6.6044 Å, b = 6.6044 Å, c = 6.6044 Å
α = 90.00°, β = 90.00°, γ = 90.00°
Last column: nearest neighbours and their distance in Å.
Space group Fm-3m (No. 225)
Unique sites:
Te  0.0000  0.0000  0.0000 x4  8 Rh 2.86
Rh  0.2500  0.2500  0.2500 x8  4 Br 2.86, 4 Te 2.86
Br  0.0000  0.0000  0.5000 x4  8 Rh 2.86

Results
Formation energy without anion corrections (eV/atom): 0.243

=====

[4]
An optimized crystal structure of In4Ga5. Source: Alexandria, functional PBE.

a = 10.6769 Å, b = 10.6769 Å, c = 3.6189 Å
α = 90.00°, β = 90.00°, γ = 90.00°
Last column: nearest neighbours and their distance in Å.
Space group I4/mmm (No. 139)
Unique sites:
In  0.0000  0.3208  0.0000 x8  4 Ga 3.02, 4 In 3.26
Ga  0.0000  0.0000  0.0000 x2  8 Ga 3.08, 4 In 3.42
Ga  0.1654  0.1654  0.5000 x8  4 In 3.02, 4 Ga 3.08-3.13

Results
ΔH_f (0 K) (eV/atom): 0.07

=====

[5]
An optimized crystal structure of Zr2WSe. Source: Alexandria, functional PBE.

a = 5.8638 Å, b = 5.8638 Å, c = 13.0211 Å
α = 90.00°, β = 90.00°, γ = 90.00°
Last column: nearest neighbours and their distance in Å.
Space group I-42d (No. 122)
Unique sites:
Zr  0.2276  0.2500  0.1250 x8  2 W 2.57, 2 Se 2.71
W  0.0000  0.0000  0.0000 x4  4 Zr 2.57
Se  0.0000  0.0000  0.5000 x4  4 Zr 2.71

Results
Formation energy without anion corrections (eV/atom): 0.770

=====

[6]
An optimized crystal structure of CaTbY14. Source: Alexandria, functional PBE.

a = 11.3916 Å, b = 7.3256 Å, c = 12.6855 Å
α = 90.00°, β = 90.00°, γ = 90.00°
Last column: nearest neighbours and their distance in Å.
Space group Amm2 (No. 38)
Unique sites:
Ca  0.0000  0.0000  0.0000 x2  10 Y 3.59-3.66, 2 Tb 3.66
Tb  0.0000  0.0000  0.5008 x2  10 Y 3.52-3.68, 2 Ca 3.66
Y  0.0000  0.2491  0.7496 x4  8 Y 3.52-3.68, 2 Tb 3.65-3.68, 2 Ca 3.66
Y  0.2476  0.0000  0.6666 x4  1 Tb 3.52, 11 Y 3.52-3.67
Y  0.2534  0.2471  0.4160 x8  10 Y 3.51-3.71, 1 Tb 3.57, 1 Ca 3.59
Y  0.2542  0.0000  0.1686 x4  11 Y 3.50-3.70, 1 Ca 3.60
Y  0.5000  0.0000  0.0000 x2  12 Y 3.52-3.67
Y  0.5000  0.0000  0.4998 x2  12 Y 3.51-3.67
Y  0.5000  0.2502  0.2502 x4  12 Y 3.50-3.67

Results
ΔH_f (0 K) (eV/atom): 0.02

=====

Number 1: total magnetic moment 0.0 μB/f.u., theoretical density 6.1 g/cm3. Number 2: total magnetic moment 0.2 μB/f.u., theoretical density 15.8 g/cm3. Number 3: total magnetic moment 0.0 μB/f.u., theoretical density 9.5 g/cm3. Number 4: total magnetic moment 0.0 μB/f.u., theoretical density 6.5 g/cm3. Number 5: total magnetic moment 0.0 μB/f.u., theoretical density 6.6 g/cm3. Number 6: total magnetic moment 0.1 μB/f.u., theoretical density 4.5 g/cm3.